No. 1
This record from Alexandria describes a relaxed structure of Ca3Mg. The functional is PBEsol.

## Properties
Uncorrected energy = -48.89 eV/cell
E_form = -8 meV/atom
Total magnetic moment = 0.000 μB per atom

CIF file:
```
data_Ca3Mg
_chemical_formula_sum 'Ca18 Mg6'
_cell_length_a 9.8755
_cell_length_b 9.8755
_cell_length_c 10.3058
_cell_angle_alpha 90.00
_cell_angle_beta 90.00
_cell_angle_gamma 120.00
_space_group_name_H-M_alt 'P 63 c m'
_space_group_IT_number 185
_space_group_name_Hall 'P 6c -2'
loop_
_atom_site_label
_atom_site_type_symbol
_atom_site_fract_x
_atom_site_fract_y
_atom_site_fract_z
Ca1 Ca 0.0000 0.0000 0.2511
Ca2 Ca 0.0000 0.2663 0.0000
Ca3 Ca 0.0000 0.3836 0.3389
Ca4 Ca 0.3333 0.6667 0.0994
Mg1 Mg 0.0000 0.3261 0.6702
```

No. 2
This record from Alexandria describes a relaxed structure of ZrTaMo2. The functional is PBEsol.

## Properties
Excess energy over the best structure of this formula in the dataset = 0.103 eV/atom
Uncorrected energy = -90.04 eV/cell
E_form = 39 meV/atom
Total magnetic moment = 0.000 μB per atom

CIF file:
```
data_ZrTaMo2
_chemical_formula_sum 'Zr2 Ta2 Mo4'
_cell_length_a 5.7598
_cell_length_b 8.8557
_cell_length_c 2.8645
_cell_angle_alpha 90.00
_cell_angle_beta 111.12
_cell_angle_gamma 90.00
_space_group_name_H-M_alt 'C 1 2/m 1'
_space_group_IT_number 12
loop_
_space_group_symop_operation_xyz
'x,y,z'
'-x,-y,-z'
'-x,y,-z'
'x,-y,z'
'x+1/2,y+1/2,z'
'-x+1/2,-y+1/2,-z'
'-x+1/2,y+1/2,-z'
'x+1/2,-y+1/2,z'
loop_
_atom_site_label
_atom_site_type_symbol
_atom_site_fract_x
_atom_site_fract_y
_atom_site_fract_z
Zr1 Zr 0.0000 0.0000 0.0000
Ta1 Ta 0.0000 0.5000 0.0000
Mo1 Mo 0.2500 0.2500 0.5000
```

No. 3
This record from Alexandria describes a relaxed structure of AgAs2Pt. The functional is PBEsol.

## Properties
Excess energy over the best structure of this formula in the dataset = 0.052 eV/atom
Uncorrected energy = -40.77 eV/cell
E_form = 26 meV/atom
Total magnetic moment = 0.000 μB per atom

CIF file:
```
data_AgAs2Pt
_chemical_formula_sum 'Ag2 As4 Pt2'
_cell_length_a 2.8878
_cell_length_b 4.7318
_cell_length_c 10.6607
_cell_angle_alpha 90.00
_cell_angle_beta 90.00
_cell_angle_gamma 90.00
_space_group_name_H-M_alt 'I m m m'
_space_group_IT_number 71
_space_group_name_Hall '-I 2 2'
loop_
_atom_site_label
_atom_site_type_symbol
_atom_site_fract_x
_atom_site_fract_y
_atom_site_fract_z
Ag1 Ag 0.0000 0.0000 0.0000
As1 As 0.0000 0.5000 0.1978
Pt1 Pt 0.0000 0.0000 0.5000
```

No. 4
This record from Alexandria describes a relaxed structure of YZr2Re. The functional is PBEsol.

## Properties
Excess energy over the best structure of this formula in the dataset = 0.273 eV/atom
Uncorrected energy = -37.34 eV/cell
E_form = 247 meV/atom
Total magnetic moment = 0.000 μB per atom

CIF file:
```
data_YZr2Re
_chemical_formula_sum 'Y1 Zr2 Re1'
_cell_length_a 3.4566
_cell_length_b 4.7950
_cell_length_c 4.8899
_cell_angle_alpha 90.00
_cell_angle_beta 90.00
_cell_angle_gamma 90.00
_space_group_name_H-M_alt 'P m m m'
_space_group_IT_number 47
loop_
_space_group_symop_operation_xyz
'x,y,z'
'-x,-y,-z'
'-x,-y,z'
'x,y,-z'
'x,-y,-z'
'-x,y,z'
'-x,y,-z'
'x,-y,z'
loop_
_atom_site_label
_atom_site_type_symbol
_atom_site_fract_x
_atom_site_fract_y
_atom_site_fract_z
Y1 Y 0.0000 0.0000 0.0000
Zr1 Zr 0.0000 0.5000 0.5000
Zr2 Zr 0.5000 0.5000 0.0000
Re1 Re 0.5000 0.0000 0.5000
```